Material: HoTmGaGe
Method: DFT, PBE
State: optimized geometry

Results
Energy of formation from the pure elements ... -2.26 eV/f.u.
Magnetic moment ... 0.0000 μB/atom
Relative energy among the computed polymorphs ... 216 meV/atom

abc: 5.0147 5.0147 5.0147
angles: 60.00 60.00 60.00
Sites, in units of the cell vectors:
Ge 0.2500 0.2500 0.2500
Tm 0.5000 0.5000 0.5000
Ho 0.0000 0.0000 0.0000
Ga 0.7500 0.7500 0.7500